Compound: TaTiV2
Source: Alexandria via LeMat-Bulk
Functional: GGA-PBE
Structure: optimized geometry

Calculated values
Final energy = -8.9315 eV per atom
Fermi-level density of states = 1.455 states/eV per atom
Symmetry = I-42d, No. 122

Cell: 6.9175 6.9175 5.5860 Å, 51.74 51.74 90.00°
Closest atoms and distances in Å follow each position.
Sites, in units of the cell vectors:
1 V 0.8750 0.8686 0.7500  2 Ti 2.51, 2 Ta 2.57, 2 V 2.70
2 V 0.6186 0.1250 0.2500  2 Ti 2.51, 2 Ta 2.57, 2 V 2.70
3 V 0.3750 0.3814 0.7500  2 Ti 2.51, 2 Ta 2.57, 2 V 2.70
4 V 0.1314 0.6250 0.2500  2 Ti 2.51, 2 Ta 2.57, 2 V 2.70
5 Ti 0.5000 0.5000 0.0000  4 V 2.51, 2 Ta 2.70
6 Ti 0.2500 0.7500 0.5000  4 V 2.51, 2 Ta 2.70
7 Ta 0.0000 0.0000 0.0000  4 V 2.57, 2 Ti 2.70
8 Ta 0.7500 0.2500 0.5000  4 V 2.57, 2 Ti 2.70